Entry 1:
# ErAl3Ag3 | the Alexandria database | PBE-GGA | optimized geometry
data_ErAl3Ag3
_chemical_formula_sum 'Er2 Al6 Ag6'
_cell_length_a 6.966
_cell_length_b 6.966
_cell_length_c 6.966
_cell_angle_alpha 90.00
_cell_angle_beta 90.00
_cell_angle_gamma 90.00
_space_group_name_H-M_alt 'P m -3 n'
_space_group_IT_number 223
_space_group_name_Hall '-P 4n 2 3'
loop_
_atom_site_label
_atom_site_type_symbol
_atom_site_fract_x
_atom_site_fract_y
_atom_site_fract_z
Er1 Er 0.000 0.000 0.000
Al1 Al 0.000 0.250 0.500
Ag1 Ag 0.000 0.500 0.250
# - Relative energy among the computed polymorphs: 42.6 kJ/mol of atoms
# - Formation enthalpy at 0 K: 0.3491 eV per atom
# - Magnetic moment: 0.000 Bohr magnetons per cell
# - Energy: -3.129 eV/atom



Entry 2:
# Ba2HfTcB | the Alexandria database | PBE-GGA | optimized geometry
data_Ba2HfTcB
_chemical_formula_sum 'Ba2 Hf1 Tc1 B1'
_cell_length_a 6.505
_cell_length_b 6.505
_cell_length_c 4.610
_cell_angle_alpha 90.00
_cell_angle_beta 90.00
_cell_angle_gamma 90.00
_space_group_name_H-M_alt 'P 4/m m m'
_space_group_IT_number 123
_space_group_name_Hall '-P 4 2'
loop_
_atom_site_label
_atom_site_type_symbol
_atom_site_fract_x
_atom_site_fract_y
_atom_site_fract_z
Ba1 Ba 0.000 0.500 0.000
Hf1 Hf 0.000 0.000 0.000
Tc1 Tc 0.000 0.000 0.500
B1 B 0.500 0.500 0.500
# - Formation enthalpy at 0 K: 1.6955 eV per atom
# - Magnetic moment: 0.304 Bohr magnetons per cell
# - Energy: -4.473 eV/atom



Entry 3:
# BaCuSi2Pd | the Alexandria database | PBE-GGA | optimized geometry
data_BaCuSi2Pd
_chemical_formula_sum 'Ba2 Cu2 Si4 Pd2'
_cell_length_a 4.429
_cell_length_b 4.429
_cell_length_c 10.107
_cell_angle_alpha 90.00
_cell_angle_beta 90.00
_cell_angle_gamma 90.00
_space_group_name_H-M_alt 'I -4 m 2'
_space_group_IT_number 119
_space_group_name_Hall 'I -4 -2'
loop_
_atom_site_label
_atom_site_type_symbol
_atom_site_fract_x
_atom_site_fract_y
_atom_site_fract_z
Ba1 Ba 0.000 0.000 0.000
Cu1 Cu 0.000 0.500 0.750
Si1 Si 0.000 0.000 0.371
Pd1 Pd 0.000 0.500 0.250
# - Formation energy (no corrections): -0.423 eV per atom
# - Magnetic moment: 0.000 Bohr magnetons per cell
# - Energy: -4.834 eV/atom



Q: Which value of energy does entry 2 give?
A: -4.473 eV/atom



Please write out number 1 again, unchanged.
# ErAl3Ag3 | the Alexandria database | PBE-GGA | optimized geometry
data_ErAl3Ag3
_chemical_formula_sum 'Er2 Al6 Ag6'
_cell_length_a 6.966
_cell_length_b 6.966
_cell_length_c 6.966
_cell_angle_alpha 90.00
_cell_angle_beta 90.00
_cell_angle_gamma 90.00
_space_group_name_H-M_alt 'P m -3 n'
_space_group_IT_number 223
_space_group_name_Hall '-P 4n 2 3'
loop_
_atom_site_label
_atom_site_type_symbol
_atom_site_fract_x
_atom_site_fract_y
_atom_site_fract_z
Er1 Er 0.000 0.000 0.000
Al1 Al 0.000 0.250 0.500
Ag1 Ag 0.000 0.500 0.250
# - Relative energy among the computed polymorphs: 42.6 kJ/mol of atoms
# - Formation enthalpy at 0 K: 0.3491 eV per atom
# - Magnetic moment: 0.000 Bohr magnetons per cell
# - Energy: -3.129 eV/atom